[1]
12
Lattice="7.3311 -0.0192 -0.0066 -3.6804 6.3404 -0.0066 -1.2244 -2.1200 7.7367" Properties=species:S:1:pos:R:3 comment="Na3Zr2NpTe6 PBE relaxed" sg="C2/m (12)" dft_energy_ev_per_atom=-5.27 pbc="T T T"
Te -1.2738 2.1994 1.7805
Te 2.5416 -0.0042 1.7805
Zr -0.0466 4.2418 -0.0066
Na -2.5281 4.2614 3.8618
Zr 3.6974 2.0795 -0.0066
Te 0.0483 0.0836 5.9834
Na 1.2132 2.1006 3.8618
Te 3.7002 2.0019 5.9430
Te -0.1152 4.2054 5.9430
Te 2.3781 4.1176 1.7401
Na 4.9545 -0.0601 3.8618
Np 0.0000 0.0000 0.0000


[2]
11
Lattice="-7.0238 -1.8392 0.1615 5.0388 -4.5916 2.5039 -0.0084 5.2539 6.2166" Properties=species:S:1:pos:R:3 comment="Na2Zr2NpTe6 PBE relaxed" sg="C2/m (12)" dft_energy_ev_per_atom=-5.55 pbc="T T T"
Te -1.4413 -0.8355 6.4402
Zr 1.0331 -1.0515 4.8352
Np -0.0042 2.6270 3.1083
Te 1.5771 1.7488 5.5956
Te -0.5520 -0.3413 2.4417
Zr -3.0265 -0.1252 4.0468
Na 3.0989 -4.1489 2.1272
Te -2.5792 2.6972 4.7885
Na -5.0838 -2.2818 0.5382
Te 0.5858 -3.8739 4.0935
Te -3.5705 -2.9256 3.2864


[3]
6
Lattice="5.4582 0.0000 0.0000 2.7291 4.7269 0.0000 2.7291 1.5756 4.4566" Properties=species:S:1:pos:R:3 comment="NaNpZn4 PBE relaxed" sg="F-43m (216)" ef_mev_per_atom=148 pbc="T T T"
Zn 5.4582 1.5787 2.7843
Zn 4.0962 3.9376 2.7843
Zn 6.8201 3.9376 2.7843
Zn 5.4582 3.1513 0.5603
Na 2.7291 1.5756 1.1141
Np 0.0000 0.0000 0.0000


[4]
12
Lattice="6.2749 0.0000 0.0000 -3.1374 5.4342 0.0000 0.0000 0.0000 4.5041" Properties=species:S:1:pos:R:3 comment="NaO PBE relaxed" sg="P-62m (189)" dft_energy_ev_per_atom=-4.20 pbc="T T T"
Na 1.9905 3.4477 0.0000
O 0.0000 0.0000 0.7683
O 0.0000 0.0000 3.7358
Na 2.2938 0.0000 0.0000
Na 0.9420 1.6316 2.2520
O 3.1375 1.8114 3.0294
Na -2.1954 3.8026 2.2520
Na -1.1469 1.9865 0.0000
O 0.0000 3.6228 3.0294
O 0.0000 3.6228 1.4747
Na 4.3909 0.0000 2.2520
O 3.1375 1.8114 1.4747


[5]
10
Lattice="6.1634 0.0000 0.0000 3.0817 5.3376 0.0000 3.0817 1.7792 4.7638" Properties=species:S:1:pos:R:3 comment="Na3O2 PBE relaxed" sg="R-3c (167)" dft_energy_ev_per_atom=-3.83 pbc="T T T"
O 6.1634 3.5584 0.2669
Na 7.0876 5.5160 1.1910
O 9.2451 5.3376 2.1150
O 6.1634 3.5584 4.4969
O 3.0817 1.7792 2.6489
Na 4.0060 3.3801 1.1910
Na 5.2391 1.6009 3.5729
Na 8.3208 3.7367 3.5729
Na 7.3965 1.7792 1.1910
Na 4.9302 5.3376 3.5729


[6]
8
Lattice="-6.0088 -1.0043 1.5835 0.7560 -2.5855 -3.7168 2.4823 -2.6967 2.7634" Properties=species:S:1:pos:R:3 comment="NaO3 PBE relaxed" sg="C2/c (15)" dft_energy_ev_per_atom=-4.63 pbc="T T T"
O -1.6831 -4.0770 1.6408
Na -3.1401 -3.3780 -0.2375
O 0.6934 -3.5344 -1.5078
O -3.4639 -2.7521 2.1380
Na 0.3696 -2.9085 0.8676
O -0.3923 -2.8594 -1.9924
O -1.0873 -2.2095 -1.0107
O -2.3782 -3.4271 2.6225


[7]
8
Lattice="-1.2624 -0.0410 3.2979 0.4073 -4.8839 0.0952 6.8896 0.5528 -1.1185" Properties=species:S:1:pos:R:3 comment="NaO PBE relaxed" sg="Cm (8)" dft_energy_ev_per_atom=-4.06 pbc="T T T"
O -0.2187 -4.0938 3.1930
O -0.4965 -0.7624 3.1280
Na 1.0296 -2.3394 1.7755
Na 4.2708 0.3790 1.1686
O 3.0224 -1.3754 2.5861
Na 1.2710 0.1436 1.9289
O 3.1519 -2.9280 2.6164
Na 4.9194 -2.0220 1.4173


[8]
5
Lattice="-1.6866 -1.6000 3.7566 3.9891 -1.5128 1.1466 0.8711 3.8298 2.0223" Properties=species:S:1:pos:R:3 comment="NaO4 PBE relaxed" sg="Pm-3m (221)" relative_energy_mev_per_atom=1829 pbc="T T T"
Na 1.5868 0.3585 3.4628
O 2.4301 1.1585 1.5845
O -0.4077 1.1149 2.8894
O 1.1513 -1.5564 2.4516
O 0.0000 0.0000 0.0000